DFT (PBE) results for an optimized crystal structure of Li2Nd3Mg9.

Cell and atoms, written as POSCAR:
```
Li2Nd3Mg9
1.0
4.923 0.000 1.256
2.138 8.306 1.896
0.388 -0.630 8.753
Mg Nd Li
9 3 2
direct
0.367 0.001 0.265
0.367 0.265 0.001
0.138 0.589 0.136
0.633 0.735 0.999
0.633 0.999 0.735
0.862 0.411 0.864
0.000 0.500 0.500
0.138 0.136 0.589
0.862 0.864 0.411
0.282 0.718 0.718
0.718 0.282 0.282
0.000 0.000 0.000
0.500 0.344 0.656
0.500 0.656 0.344
```

Calculated total energy   -2.350 eV/atom
Energy of formation from the pure elements   -2.8 kJ/mol of atoms


DFT (PBE) results for an optimized crystal structure of Re2Pt5Rh5.

Cell and atoms, written as POSCAR:
```
Re2Pt5Rh5
1.0
3.759 0.000 0.924
1.630 5.771 1.478
-0.048 0.530 8.301
Rh Pt Re
5 5 2
direct
0.500 0.500 0.500
0.573 0.102 0.751
0.332 0.340 0.996
0.668 0.660 0.004
0.427 0.898 0.249
0.255 0.742 0.748
0.840 0.824 0.497
0.000 0.000 0.000
0.745 0.258 0.252
0.160 0.176 0.503
0.914 0.415 0.758
0.086 0.585 0.242
```

Calculated total energy   -7.769 eV/atom
Energy of formation from the pure elements   -11.1 kJ/mol of atoms


DFT (PBE) results for an optimized crystal structure of BaFeP.

Cell and atoms, written as POSCAR:
```
BaFeP
1.0
-3.888 0.631 1.150
0.808 -1.889 -3.551
-0.023 -4.311 2.289
Fe P Ba
1 1 1
direct
0.667 0.333 0.500
0.333 0.667 0.500
0.000 0.000 0.000
```

Calculated total energy   -5.675 eV/atom
Energy of formation from the pure elements   -39.5 kJ/mol of atoms


DFT (PBE) results for an optimized crystal structure of PmTmPt.

Cell and atoms, written as POSCAR:
```
PmTmPt
1.0
-6.359 -0.148 -2.549
2.228 -4.203 -5.312
-2.717 -10.801 7.406
Pt Tm Pm
8 8 8
direct
0.228 0.460 0.899
0.772 0.040 0.399
0.728 0.040 0.899
0.228 0.960 0.601
0.772 0.540 0.101
0.272 0.960 0.101
0.728 0.540 0.601
0.272 0.460 0.399
0.997 0.239 0.031
0.497 0.261 0.031
0.997 0.739 0.469
0.003 0.761 0.969
0.503 0.239 0.531
0.497 0.761 0.469
0.503 0.739 0.969
0.003 0.261 0.531
0.799 0.397 0.803
0.299 0.103 0.803
0.701 0.897 0.197
0.201 0.103 0.303
0.201 0.603 0.197
0.799 0.897 0.697
0.701 0.397 0.303
0.299 0.603 0.697
```

Energy above the lowest structure with this stoichiometry   0 meV/atom
Calculated total energy   -6.002 eV/atom
Energy of formation from the pure elements   -88.2 kJ/mol of atoms


| no. | density of states at the Fermi level (states/eV/atom) |
| --- | --- |
| 1 | 0.7958 |
| 2 | 0.9768 |
| 3 | 1.7816 |
| 4 | 1.1757 |